# NpPaGeOs (GGA-PBE, relaxed)
# Calculated total energy = -9.54 eV/atom
# ρ = 15.6 Mg/m³
# Energy relative to the elements = 30 meV per atom
data_NpPaGeOs
_cell_length_a 4.7890
_cell_length_b 4.7890
_cell_length_c 4.7890
_cell_angle_alpha 60.00
_cell_angle_beta 60.00
_cell_angle_gamma 60.00
_space_group_name_H-M_alt 'P 1'
_space_group_IT_number 1
loop_
_space_group_symop_operation_xyz
'x,y,z'
loop_
_atom_site_label
_atom_site_fract_x
_atom_site_fract_y
_atom_site_fract_z
Ge1 0.5000 0.5000 0.5000
Os1 0.2500 0.2500 0.2500
Pa1 0.0000 0.0000 0.0000
Np1 0.7500 0.7500 0.7500

---

# KLa2Ru2 (GGA-PBE, relaxed)
# Calculated total energy = -5.69 eV/atom
# ρ = 6.7 Mg/m³
# Offset from the most stable computed form = 0.0 meV/atom
# Energy relative to the elements = 211 meV per atom
data_KLa2Ru2
_cell_length_a 8.5831
_cell_length_b 8.5831
_cell_length_c 3.5120
_cell_angle_alpha 90.00
_cell_angle_beta 90.00
_cell_angle_gamma 90.00
_space_group_name_H-M_alt 'P 1'
_space_group_IT_number 1
loop_
_space_group_symop_operation_xyz
'x,y,z'
loop_
_atom_site_label
_atom_site_fract_x
_atom_site_fract_y
_atom_site_fract_z
K1 0.5000 0.5000 0.0000
K2 0.0000 0.0000 0.0000
La1 0.6434 0.8566 0.5000
La2 0.1434 0.6434 0.5000
La3 0.8566 0.3566 0.5000
La4 0.3566 0.1434 0.5000
Ru1 0.3718 0.8718 0.0000
Ru2 0.1282 0.3718 0.0000
Ru3 0.6282 0.1282 0.0000
Ru4 0.8718 0.6282 0.0000

---

# CuIr2Pt (GGA-PBE, relaxed)
# Calculated total energy = -6.93 eV/atom
# ρ = 18.7 Mg/m³
# Offset from the most stable computed form = 30.6 meV/atom
# Energy relative to the elements = 35 meV per atom
data_CuIr2Pt
_cell_length_a 4.7036
_cell_length_b 4.7036
_cell_length_c 4.7112
_cell_angle_alpha 80.40
_cell_angle_beta 80.40
_cell_angle_gamma 33.83
_space_group_name_H-M_alt 'P 1'
_space_group_IT_number 1
loop_
_space_group_symop_operation_xyz
'x,y,z'
loop_
_atom_site_label
_atom_site_fract_x
_atom_site_fract_y
_atom_site_fract_z
Ir1 0.5000 0.5000 0.4953
Ir2 0.0000 0.0000 0.0047
Cu1 0.2500 0.2500 0.2500
Pt1 0.7500 0.7500 0.7500

---

# KCuP (GGA-PBE, relaxed)
# Calculated total energy = -3.02 eV/atom
# ρ = 3.1 Mg/m³
# Energy relative to the elements = 518 meV per atom
data_KCuP
_cell_length_a 4.6797
_cell_length_b 4.6797
_cell_length_c 4.6797
_cell_angle_alpha 60.00
_cell_angle_beta 60.00
_cell_angle_gamma 60.00
_space_group_name_H-M_alt 'P 1'
_space_group_IT_number 1
loop_
_space_group_symop_operation_xyz
'x,y,z'
loop_
_atom_site_label
_atom_site_fract_x
_atom_site_fract_y
_atom_site_fract_z
Cu1 0.0000 0.0000 0.0000
P1 0.7500 0.7500 0.7500
K1 0.5000 0.5000 0.5000

---

# Sr2ScCu (GGA-PBE, relaxed)
# Calculated total energy = -3.29 eV/atom
# ρ = 3.6 Mg/m³
# Offset from the most stable computed form = 82.5 meV/atom
# Energy relative to the elements = 155 meV per atom
data_Sr2ScCu
_cell_length_a 6.9339
_cell_length_b 6.9339
_cell_length_c 5.7865
_cell_angle_alpha 65.33
_cell_angle_beta 65.33
_cell_angle_gamma 31.10
_space_group_name_H-M_alt 'P 1'
_space_group_IT_number 1
loop_
_space_group_symop_operation_xyz
'x,y,z'
loop_
_atom_site_label
_atom_site_fract_x
_atom_site_fract_y
_atom_site_fract_z
Cu1 0.5220 0.5220 0.4768
Sr1 0.8002 0.8002 0.7002
Sr2 0.9970 0.9970 0.0033
Sc1 0.1807 0.1807 0.3196

---

# PrNd12Cd7 (GGA-PBE, relaxed)
# Calculated total energy = -3.52 eV/atom
# ρ = 7.0 Mg/m³
# Energy relative to the elements = -98 meV per atom
data_PrNd12Cd7
_cell_length_a 8.5639
_cell_length_b 8.5639
_cell_length_c 8.5639
_cell_angle_alpha 90.15
_cell_angle_beta 90.15
_cell_angle_gamma 90.15
_space_group_name_H-M_alt 'P 1'
_space_group_IT_number 1
loop_
_space_group_symop_operation_xyz
'x,y,z'
loop_
_atom_site_label
_atom_site_fract_x
_atom_site_fract_y
_atom_site_fract_z
Nd1 0.7758 0.3585 0.2272
Nd2 0.7728 0.2242 0.6415
Nd3 0.5474 0.8805 0.6611
Nd4 0.6415 0.7728 0.2242
Nd5 0.2272 0.7758 0.3585
Nd6 0.4526 0.1195 0.3389
Nd7 0.2242 0.6415 0.7728
Nd8 0.3585 0.2272 0.7758
Nd9 0.8805 0.6611 0.5474
Nd10 0.6611 0.5474 0.8805
Nd11 0.3389 0.4526 0.1195
Nd12 0.1195 0.3389 0.4526
Pr1 0.0000 0.0000 0.0000
Cd1 0.3634 0.8916 0.0094
Cd2 0.9906 0.6366 0.1084
Cd3 0.0094 0.3634 0.8916
Cd4 0.1084 0.9906 0.6366
Cd5 0.5000 0.5000 0.5000
Cd6 0.8916 0.0094 0.3634
Cd7 0.6366 0.1084 0.9906

---

- What is the calculated total energy in the third record?
  -6.93 eV/atom